(1)
A plane-wave DFT calculation with PBE was carried out for a relaxed structure of CuSiTc.

Cell and atoms, written as POSCAR:
```
CuSiTc
1.0
4.831 0.362 -0.365
2.761 3.981 0.365
-3.618 -2.484 2.085
Cu Si Tc
1 1 1
Cartesian
0.085 0.048 0.000 Cu
5.076 2.904 0.000 Si
2.432 1.392 0.000 Tc
```

Results
- space-group type = I4mm, No. 107
- total magnetic moment (μB per cell) = 0.00
- ΔE_f (raw) (eV per atom) = 0.016
- N(E_F) (states/eV per cell) = 3.24
- V (A^3/atom) = 13.06

---

(2)
A plane-wave DFT calculation with PBE was carried out for a relaxed structure of CuSi2Tc.

Cell and atoms, written as POSCAR:
```
CuSi2Tc
1.0
4.531 -0.001 0.000
1.358 4.322 0.000
-2.689 -2.508 2.646
Cu Si Tc
1 2 1
Cartesian
2.393 -0.174 1.323 Cu
5.826 4.276 0.000 Si
3.006 2.207 0.000 Si
0.806 1.988 1.323 Tc
```

Results
- space-group type = Immm, No. 71
- total magnetic moment (μB per cell) = 0.00
- ΔE_f (raw) (eV per atom) = -0.096
- N(E_F) (states/eV per cell) = 1.56
- V (A^3/atom) = 12.96

---

(3)
A plane-wave DFT calculation with PBE was carried out for a relaxed structure of CuSi2Tc.

Cell and atoms, written as POSCAR:
```
CuSi2Tc
1.0
4.931 0.026 0.178
-1.703 4.628 0.178
0.816 1.176 2.517
Cu Si Tc
1 2 1
Cartesian
-0.443 2.902 1.347 Cu
0.000 0.000 0.000 Si
1.614 2.327 0.178 Si
2.873 0.601 1.347 Tc
```

Results
- space-group type = C2/m, No. 12
- total magnetic moment (μB per cell) = 0.00
- ΔE_f (raw) (eV per atom) = 0.091
- N(E_F) (states/eV per cell) = 2.82
- V (A^3/atom) = 13.87

---

(4)
A plane-wave DFT calculation with PBE was carried out for a relaxed structure of CuSi2Tc.

Cell and atoms, written as POSCAR:
```
CuSi2Tc
1.0
4.445 0.000 0.000
0.000 2.847 0.000
0.000 0.000 4.184
Cu Si Tc
1 2 1
Cartesian
2.223 2.491 3.101 Cu
0.000 2.491 0.064 Si
2.223 1.068 0.977 Si
0.000 1.068 2.135 Tc
```

Results
- space-group type = Pmm2, No. 25
- total magnetic moment (μB per cell) = 0.00
- ΔE_f (raw) (eV per atom) = -0.127
- N(E_F) (states/eV per cell) = 2.00
- V (A^3/atom) = 13.24

---

(5)
A plane-wave DFT calculation with PBE was carried out for a relaxed structure of CuSi2Tc.

Cell and atoms, written as POSCAR:
```
CuSi2Tc
1.0
-4.323 3.176 -3.802
-1.516 -5.651 -2.998
-4.842 -1.684 -1.586
Si Tc Cu
4 2 2
Cartesian
-4.048 0.819 -3.100 Si
-2.752 -3.517 -2.792 Si
-5.840 -2.261 -3.776 Si
-8.722 -3.359 -7.102 Si
0.000 0.000 0.000 Tc
-6.042 0.127 -4.394 Tc
-2.919 -1.238 -3.400 Cu
-4.639 -4.286 -3.992 Cu
```

Results
- space-group type = I-42d, No. 122
- total magnetic moment (μB per cell) = 1.73
- ΔE_f (raw) (eV per atom) = 0.408
- N(E_F) (states/eV per cell) = 8.27
- V (A^3/atom) = 14.48

---

(6)
A plane-wave DFT calculation with PBE was carried out for a relaxed structure of CuSiTc.

Cell and atoms, written as POSCAR:
```
CuSiTc
1.0
2.794 0.000 0.000
-1.397 2.420 0.000
0.000 0.000 6.032
Cu Si Tc
1 1 1
Cartesian
0.000 0.000 0.088 Cu
1.397 0.807 2.034 Si
0.000 1.613 3.910 Tc
```

Results
- space-group type = P3m1, No. 156
- total magnetic moment (μB per cell) = 0.00
- ΔE_f (raw) (eV per atom) = 0.080
- N(E_F) (states/eV per cell) = 1.06
- V (A^3/atom) = 13.59

---

Question: total magnetic moment of number 5 (CuSi2Tc)?
Answer: 1.73 μB per cell

---

Question: The highest ΔE_f (raw) belongs to which entry?
Answer: number 5

---

Question: The highest V belongs to which entry?
Answer: number 5

---

Question: Among the records above, which one has the highest V?
Answer: number 5